# Zn6Cu2Ir

An optimized crystal structure of Zn6Cu2Ir (PBE, the Alexandria database).

V in Å³/f.u.: 125.16
E in Ha/atom: -0.1039
Total magnetization in μB per formula unit: 0.0
Polymorph energy (0 for the lowest one) in meV/atom: 0

extended XYZ file:
```
9
Lattice="4.241 0.000 0.000 -2.120 3.673 0.000 0.000 0.000 8.037" Properties=species:S:1:pos:R:3 pbc="T T T"
Zn 0.000 0.000 1.404
Zn 0.000 0.000 6.633
Zn 0.000 2.448 0.277
Zn 0.000 2.448 3.061
Zn 2.120 1.224 4.976
Zn 2.120 1.224 7.760
Cu 0.000 2.448 5.656
Cu 2.120 1.224 2.381
Ir 0.000 0.000 4.018
```

# Zn2Cu12Ir

An optimized crystal structure of Zn2Cu12Ir (PBE, the Alexandria database).

V in Å³/f.u.: 198.46
E in Ha/atom: -0.1434
Total magnetization in μB per formula unit: 0.0

extended XYZ file:
```
15
Lattice="2.540 0.000 0.000 0.000 4.203 0.000 0.000 0.000 18.591" Properties=species:S:1:pos:R:3 pbc="T T T"
Zn 0.000 0.000 4.481
Zn 0.000 0.000 14.111
Cu 0.000 2.102 1.181
Cu 0.000 2.102 7.862
Cu 0.000 2.102 10.730
Cu 0.000 2.102 17.411
Cu 1.270 0.000 1.897
Cu 1.270 0.000 6.968
Cu 1.270 0.000 11.623
Cu 1.270 0.000 16.695
Cu 1.270 2.102 3.297
Cu 1.270 2.102 5.659
Cu 1.270 2.102 12.933
Cu 1.270 2.102 15.295
Ir 0.000 0.000 9.296
```

# Zn2Cu2Ir

An optimized crystal structure of Zn2Cu2Ir (PBE, the Alexandria database).

V in Å³/f.u.: 66.83
E in Ha/atom: -0.1476
Total magnetization in μB per formula unit: 0.0
Polymorph energy (0 for the lowest one) in meV/atom: 0

extended XYZ file:
```
10
Lattice="4.447 -2.358 0.000 4.447 2.358 0.000 -2.624 0.000 6.371" Properties=species:S:1:pos:R:3 pbc="T T T"
Zn 1.352 0.754 0.947
Zn 0.040 -0.754 4.133
Zn 6.230 0.754 2.239
Zn 4.918 -0.754 5.424
Cu 2.115 0.765 3.513
Cu 2.843 0.765 6.044
Cu 3.427 -0.765 0.327
Cu 4.155 -0.765 2.859
Ir 3.791 1.552 1.593
Ir 2.479 -1.552 4.779
```

# ZnCuIr

An optimized crystal structure of ZnCuIr (PBE, the Alexandria database).

V in Å³/f.u.: 49.66
E in Ha/atom: -0.1600
Total magnetization in μB per formula unit: 0.0
Polymorph energy (0 for the lowest one) in meV/atom: 427

extended XYZ file:
```
3
Lattice="0.000 2.917 2.917 2.917 0.000 2.917 2.917 2.917 0.000" Properties=species:S:1:pos:R:3 pbc="T T T"
Zn 0.000 0.000 0.000
Cu 2.917 2.917 2.917
Ir 1.459 1.459 1.459
```